Below is a relaxed structure of InFeSb2, with properties calculated at the PBE-GGA level.

Cell and atoms, written as CIF:
```
data_InFeSb2
_chemical_formula_sum 'In1 Fe1 Sb2'
_cell_length_a 4.0808
_cell_length_b 4.0808
_cell_length_c 7.9649
_cell_angle_alpha 84.15
_cell_angle_beta 84.15
_cell_angle_gamma 46.50
_symmetry_space_group_name_H-M 'P 1'
_symmetry_Int_Tables_number 1
loop_
_symmetry_equiv_pos_as_xyz
'x,y,z'
loop_
_atom_site_label
_atom_site_fract_x
_atom_site_fract_y
_atom_site_fract_z
_atom_site_occupancy
Sb1 0.0310 0.0310 0.9345 1
In1 0.2500 0.2500 0.2500 1
Fe1 0.7500 0.7500 0.7500 1
Sb2 0.4690 0.4690 0.5655 1
```

Summary:
The formation energy (no corrections) comes out at 0.156 eV/atom. Its crystal system is monoclinic.

Below is a relaxed structure of TiNi5Pt6, with properties calculated at the PBE-GGA level.

Cell and atoms, written as CIF:
```
data_TiNi5Pt6
_chemical_formula_sum 'Ti1 Ni5 Pt6'
_cell_length_a 8.3257
_cell_length_b 3.8717
_cell_length_c 6.0876
_cell_angle_alpha 71.46
_cell_angle_beta 81.48
_cell_angle_gamma 62.24
_symmetry_space_group_name_H-M 'P 1'
_symmetry_Int_Tables_number 1
loop_
_symmetry_equiv_pos_as_xyz
'x,y,z'
loop_
_atom_site_label
_atom_site_fract_x
_atom_site_fract_y
_atom_site_fract_z
_atom_site_occupancy
Ni1 0.0000 0.6671 0.6659 1
Ni2 0.5000 0.8386 0.3228 1
Pt1 0.2518 0.5803 0.3354 1
Ni3 0.5000 0.1614 0.6772 1
Ni4 0.5000 0.5000 0.0000 1
Ni5 0.0000 0.3329 0.3341 1
Pt2 0.2481 0.2517 0.0000 1
Pt3 0.7482 0.4197 0.6646 1
Ti1 0.0000 0.0000 0.0000 1
Pt4 0.7519 0.7483 0.0000 1
Pt5 0.2518 0.9157 0.6646 1
Pt6 0.7482 0.0843 0.3354 1
```

Summary:
The formation energy from the elements comes out at -0.343 eV per atom. As for the energy above the lowest structure with this stoichiometry: 0 meV/atom. Its crystal system is orthorhombic.

Below is a relaxed structure of KMo5, with properties calculated at the PBE-GGA level.

Cell and atoms, written as CIF:
```
data_KMo5
_chemical_formula_sum 'K1 Mo5'
_cell_length_a 5.6723
_cell_length_b 5.6723
_cell_length_c 4.2548
_cell_angle_alpha 90.00
_cell_angle_beta 90.00
_cell_angle_gamma 120.00
_symmetry_space_group_name_H-M 'P 1'
_symmetry_Int_Tables_number 1
loop_
_symmetry_equiv_pos_as_xyz
'x,y,z'
loop_
_atom_site_label
_atom_site_fract_x
_atom_site_fract_y
_atom_site_fract_z
_atom_site_occupancy
Mo1 0.5000 0.0000 0.5000 1
K1 0.0000 0.0000 0.0000 1
Mo2 0.6667 0.3333 0.0000 1
Mo3 0.3333 0.6667 0.0000 1
Mo4 0.5000 0.5000 0.5000 1
Mo5 0.0000 0.5000 0.5000 1
```

Summary:
The formation energy from the elements comes out at 0.916 eV per atom. As for the energy above the lowest structure with this stoichiometry: 101 meV/atom. Its crystal system is hexagonal.

Values for total magnetic moment, μB per formula unit, ordered as above
1.9, 3.7, 0.0